[1]
Here is crystalline ZrSc2In at its relaxed geometry from Alexandria via LeMat-Bulk. Energies are from GGA-PBEsol.

Its theoretical density is 5.57 g/cm3. For the spin magnetization, the calculation gives 0.00 μB per formula unit. The final energy is -6.507 eV/atom. As for the formation energy: -0.187 eV/atom.

The structure belongs to space group P2/m (No. 10); the cell edges are 5.329, 3.173 and 5.479 Å and the angles 90.00°, 107.83° and 90.00°. The asymmetric unit holds Zr at (0.000, 0.000, 0.000), Sc at (0.500, 0.000, 0.500), Sc at (0.500, 0.500, 0.000) and In at (0.000, 0.500, 0.500).

[2]
Here is crystalline PAu3 at its relaxed geometry from Alexandria via LeMat-Bulk. Energies are from GGA-PBEsol.

Its theoretical density is 15.42 g/cm3. For the spin magnetization, the calculation gives 0.00 μB per formula unit. The final energy is -4.036 eV/atom. As for the formation energy: 0.355 eV/atom.

The structure belongs to space group Fm-3m (No. 225); the cell edges are 6.446, 6.446 and 6.446 Å and the angles 90.00°, 90.00° and 90.00°. The asymmetric unit holds P at (0.000, 0.000, 0.000), Au at (0.000, 0.000, 0.500) and Au at (0.250, 0.250, 0.250).

[3]
Here is crystalline SrTcRu2 at its relaxed geometry from Alexandria via LeMat-Bulk. Energies are from GGA-PBEsol.

Its theoretical density is 8.81 g/cm3. For the spin magnetization, the calculation gives 0.00 μB per formula unit. The final energy is -7.678 eV/atom. As for the formation energy: 0.685 eV/atom.

The structure belongs to space group Pm (No. 6); the cell edges are 2.872, 4.225 and 6.188 Å and the angles 90.00°, 103.34° and 90.00°. The asymmetric unit holds Sr at (0.000, 0.000, 0.000), Tc at (0.663, 0.500, 0.325), Ru at (0.336, 0.500, 0.676) and Ru at (0.749, 0.000, 0.502).

[4]
Here is crystalline Tl2Pd3Se2 at its relaxed geometry from Alexandria via LeMat-Bulk. Energies are from GGA-PBEsol.

Its theoretical density is 10.44 g/cm3. For the spin magnetization, the calculation gives 0.00 μB per formula unit. The uncorrected formation energy is -0.35 eV/atom. The final energy is -4.760 eV/atom.

The structure belongs to space group R-3m (No. 166, hexagonal axes); the cell edges are 5.7518, 5.7518 and 14.7540 Å and the angles 90.00°, 90.00° and 120.00°. The asymmetric unit holds Tl at (0.0000, 0.0000, 0.0000), Tl at (0.0000, 0.0000, 0.5000), Pd at (0.0000, 0.5000, 0.0000) and Se at (0.0000, 0.0000, 0.2112).

[5]
Here is crystalline KMnSb2 at its relaxed geometry from Alexandria via LeMat-Bulk. Energies are from GGA-PBEsol.

Its theoretical density is 5.05 g/cm3. For the spin magnetization, the calculation gives 2.93 μB per formula unit. The uncorrected formation energy is -0.10 eV/atom. The final energy is -5.101 eV/atom.

The structure belongs to space group R-3m (No. 166, hexagonal axes); the cell edges are 4.1467, 4.1467 and 22.3501 Å and the angles 90.00°, 90.00° and 120.00°. The asymmetric unit holds K at (0.0000, 0.0000, 0.0000), Mn at (0.0000, 0.0000, 0.5000) and Sb at (0.0000, 0.0000, 0.2195).

[6]
Here is crystalline Sr2AlBIr at its relaxed geometry from Alexandria via LeMat-Bulk. Energies are from GGA-PBEsol.

Its theoretical density is 4.98 g/cm3. For the spin magnetization, the calculation gives 0.27 μB per formula unit. The final energy is -4.690 eV/atom. As for the formation energy: 0.233 eV/atom.

The structure belongs to space group P4/mmm (No. 123); the cell edges are 5.805, 5.805 and 4.006 Å and the angles 90.00°, 90.00° and 90.00°. The asymmetric unit holds Sr at (0.000, 0.500, 0.000), Al at (0.000, 0.000, 0.500), B at (0.500, 0.500, 0.500) and Ir at (0.500, 0.500, 0.000).

[7]
Here is crystalline LiYSe2 at its relaxed geometry from Alexandria via LeMat-Bulk. Energies are from GGA-PBEsol.

Its theoretical density is 4.72 g/cm3. For the spin magnetization, the calculation gives 0.00 μB per formula unit. The uncorrected formation energy is -1.64 eV/atom. The final energy is -5.763 eV/atom.

The structure belongs to space group Pmm2 (No. 25); the cell edges are 4.027, 5.509 and 4.024 Å and the angles 90.00°, 90.00° and 90.00°. The asymmetric unit holds Li at (0.000, 0.000, 0.000), Y at (0.500, 0.500, 0.501), Se at (0.000, 0.500, 0.001) and Se at (0.500, 0.000, 0.500).

[8]
Here is crystalline LiCl3 at its relaxed geometry from Alexandria via LeMat-Bulk. Energies are from GGA-PBEsol.

Its theoretical density is 2.09 g/cm3. For the spin magnetization, the calculation gives 0.00 μB per formula unit. The uncorrected formation energy is -0.87 eV/atom. The final energy is -2.872 eV/atom.

The structure belongs to space group R-3m (No. 166, hexagonal axes); the cell edges are 3.8429, 3.8429 and 21.0963 Å and the angles 90.00°, 90.00° and 120.00°. The asymmetric unit holds Li at (0.0000, 0.0000, 0.0000), Cl at (0.0000, 0.0000, 0.3924) and Cl at (0.0000, 0.0000, 0.5000).

[9]
Here is crystalline MnCoSeN2 at its relaxed geometry from Alexandria via LeMat-Bulk. Energies are from GGA-PBEsol.

Its theoretical density is 5.76 g/cm3. For the spin magnetization, the calculation gives 1.85 μB per formula unit. The uncorrected formation energy is 0.66 eV/atom. The final energy is -7.025 eV/atom.

The structure belongs to space group P4/mmm (No. 123); the cell edges are 3.499, 3.499 and 5.201 Å and the angles 90.00°, 90.00° and 90.00°. The asymmetric unit holds Mn at (0.000, 0.000, 0.000), Co at (0.500, 0.500, 0.500), Se at (0.000, 0.000, 0.500) and N at (0.000, 0.500, 0.000).

[10]
Here is crystalline ZnWCl at its relaxed geometry from Alexandria via LeMat-Bulk. Energies are from GGA-PBEsol.

Its theoretical density is 7.84 g/cm3. For the spin magnetization, the calculation gives 3.26 μB per formula unit. The uncorrected formation energy is 1.82 eV/atom. The final energy is -3.979 eV/atom.

The structure belongs to space group F-43m (No. 216); the cell edges are 6.226, 6.226 and 6.226 Å and the angles 90.00°, 90.00° and 90.00°. The asymmetric unit holds Zn at (0.000, 0.000, 0.000), W at (0.250, 0.250, 0.750) and Cl at (0.250, 0.250, 0.250).

[11]
Here is crystalline KLi2MnSe at its relaxed geometry from Alexandria via LeMat-Bulk. Energies are from GGA-PBEsol.

Its theoretical density is 2.57 g/cm3. For the spin magnetization, the calculation gives 3.32 μB per formula unit. The uncorrected formation energy is -0.03 eV/atom. The final energy is -3.764 eV/atom.

The structure belongs to space group P4/mmm (No. 123); the cell edges are 5.041, 5.041 and 4.759 Å and the angles 90.00°, 90.00° and 90.00°. The asymmetric unit holds K at (0.000, 0.000, 0.000), Li at (0.000, 0.500, 0.500), Mn at (0.500, 0.500, 0.000) and Se at (0.500, 0.500, 0.500).

[12]
Here is crystalline ScTaRu at its relaxed geometry from Alexandria via LeMat-Bulk. Energies are from GGA-PBEsol.

Its theoretical density is 10.79 g/cm3. For the spin magnetization, the calculation gives 0.00 μB per formula unit. The final energy is -9.956 eV/atom. As for the formation energy: -0.180 eV/atom.

The structure belongs to space group P3m1 (No. 156); the cell edges are 4.4112, 4.4112 and 2.9847 Å and the angles 90.00°, 90.00° and 120.00°. The asymmetric unit holds Sc at (0.0000, 0.0000, 0.0000), Ta at (0.3333, 0.6667, 0.5919) and Ru at (0.6667, 0.3333, 0.3302).

- Look up the spin magnetization of the seventh one.
  0.00 μB per formula unit